No. 1
This record from the Alexandria database describes Tm5TlPd2 after structural relaxation. The functional is GGA-PBE.

Cell: 7.7629 7.7629 8.6312 Å, 116.72 116.72 90.00°
Fractional positions:
1 Tm 0.5166 0.7021 0.7187
2 Tm 0.7979 0.9834 0.2813
3 Tm 0.0000 0.0000 0.0000
4 Tm 0.5000 0.5000 0.0000
5 Tm 0.2021 0.0166 0.7187
6 Tm 0.7021 0.2021 0.7187
7 Tm 0.0166 0.5166 0.7187
8 Tm 0.2979 0.7979 0.2813
9 Tm 0.9834 0.4834 0.2813
10 Tm 0.4834 0.2979 0.2813
11 Tl 0.7500 0.7500 0.5000
12 Tl 0.2500 0.2500 0.5000
13 Pd 0.1355 0.3645 0.0000
14 Pd 0.6355 0.1355 0.0000
15 Pd 0.3645 0.8645 0.0000
16 Pd 0.8645 0.6355 0.0000

Results
ΔE_f = -0.587 eV/atom

---

No. 2
This record from the Alexandria database describes Ba2RuSe after structural relaxation. The functional is GGA-PBE.

Cell: 8.2415 8.2415 8.2415 Å, 149.90 148.05 44.47°
Fractional positions:
1 Ba 0.9931 0.9931 0.0000
2 Ba 0.7616 0.2616 0.5000
3 Ru 0.4138 0.4138 0.0000
4 Se 0.3314 0.8314 0.5000

Results
ΔE_f (raw) = -398 meV/atom

---

No. 3
This record from the Alexandria database describes MnAgSb2 after structural relaxation. The functional is GGA-PBE.

Cell: 4.3892 4.3892 6.3815 Å, 76.70 76.70 49.20°
Fractional positions:
1 Ag 0.7500 0.7500 0.7500
2 Mn 0.2500 0.2500 0.2500
3 Sb 0.9853 0.9853 0.0314
4 Sb 0.5147 0.5147 0.4686

Results
ΔE_f (raw) = 171 meV/atom

---

No. 4
This record from the Alexandria database describes NdDy3Y2Se6 after structural relaxation. The functional is GGA-PBE.

Cell: 7.1096 7.1096 7.1258 Å, 99.53 99.53 120.27°
Fractional positions:
1 Nd 0.0000 0.0000 0.0000
2 Dy 0.1608 0.8392 0.5000
3 Dy 0.8392 0.1608 0.5000
4 Dy 0.5000 0.5000 0.5000
5 Y 0.3343 0.6657 0.0000
6 Y 0.6657 0.3343 0.0000
7 Se 0.9147 0.5723 0.7432
8 Se 0.7425 0.7425 0.2524
9 Se 0.0853 0.4277 0.2568
10 Se 0.5723 0.9147 0.7432
11 Se 0.2575 0.2575 0.7476
12 Se 0.4277 0.0853 0.2568

Results
ΔE_f (raw) = -1771 meV/atom

---

No. 5
This record from the Alexandria database describes Ba2Li2Zn after structural relaxation. The functional is GGA-PBE.

Cell: 7.8873 7.8873 5.4295 Å, 90.00 90.00 90.00°
Fractional positions:
1 Zn 0.0000 0.0000 0.0000
2 Zn 0.5000 0.5000 0.0000
3 Ba 0.1892 0.6892 0.5000
4 Ba 0.6892 0.8108 0.5000
5 Ba 0.8108 0.3108 0.5000
6 Ba 0.3108 0.1892 0.5000
7 Li 0.3712 0.8712 0.0000
8 Li 0.8712 0.6288 0.0000
9 Li 0.6288 0.1288 0.0000
10 Li 0.1288 0.3712 0.0000

Results
ΔE_f = 0.062 eV/atom
energy above the lowest structure with this stoichiometry = 95.5 meV/atom

---

No. 6
This record from the Alexandria database describes Ho3Zn3Ru after structural relaxation. The functional is GGA-PBE.

Cell: 3.8660 5.6532 14.9372 Å, 81.84 82.56 70.01°
Fractional positions:
1 Ho 0.5225 0.3395 0.6155
2 Ho 0.4775 0.6605 0.3845
3 Ho 0.2583 0.2431 0.2404
4 Ho 0.7417 0.7569 0.7596
5 Ho 0.3799 0.3168 0.9235
6 Ho 0.6201 0.6832 0.0765
7 Zn 0.8371 0.7927 0.5331
8 Zn 0.1629 0.2073 0.4669
9 Zn 0.1021 0.8715 0.9243
10 Zn 0.8979 0.1285 0.0757
11 Zn 0.9792 0.8158 0.2257
12 Zn 0.0208 0.1842 0.7743
13 Ru 0.7812 0.0698 0.3677
14 Ru 0.2188 0.9302 0.6323

Results
ΔE_f = -0.333 eV/atom

---

No. 7
This record from the Alexandria database describes NdTmMn4 after structural relaxation. The functional is GGA-PBE.

Cell: 5.1760 5.1760 5.1760 Å, 60.00 60.00 60.00°
Fractional positions:
1 Tm 0.0000 0.0000 0.0000
2 Nd 0.2500 0.2500 0.2500
3 Mn 0.6262 0.6262 0.1213
4 Mn 0.6262 0.1213 0.6262
5 Mn 0.6262 0.6262 0.6262
6 Mn 0.1213 0.6262 0.6262

Results
ΔE_f = 0.204 eV/atom

---

No. 8
This record from the Alexandria database describes BaLaMn2 after structural relaxation. The functional is GGA-PBE.

Cell: 5.3537 5.3537 6.5493 Å, 64.22 64.22 52.46°
Fractional positions:
1 Ba 0.7500 0.7500 0.7500
2 La 0.2500 0.2500 0.2500
3 Mn 0.9790 0.9790 0.1512
4 Mn 0.5210 0.5210 0.3488

Results
ΔE_f = 0.570 eV/atom
energy above the lowest structure with this stoichiometry = 136.2 meV/atom

---

No. 9
This record from the Alexandria database describes TbMgAgPb after structural relaxation. The functional is GGA-PBE.

Cell: 5.1506 5.1506 5.1506 Å, 60.00 60.00 60.00°
Fractional positions:
1 Pb 0.2500 0.2500 0.2500
2 Mg 0.0000 0.0000 0.0000
3 Tb 0.5000 0.5000 0.5000
4 Ag 0.7500 0.7500 0.7500

Results
ΔE_f = -0.304 eV/atom

---

No. 10
This record from the Alexandria database describes CdIrBr2 after structural relaxation. The functional is GGA-PBE.

Cell: 7.0463 7.0463 7.5939 Å, 62.36 62.36 90.00°
Fractional positions:
1 Ir 0.0000 0.0000 0.0000
2 Ir 0.7500 0.2500 0.5000
3 Br 0.7471 0.1250 0.2500
4 Br 0.0029 0.6250 0.2500
5 Br 0.3750 0.2529 0.7500
6 Br 0.8750 0.9971 0.7500
7 Cd 0.5000 0.5000 0.0000
8 Cd 0.2500 0.7500 0.5000

Results
ΔE_f (raw) = 494 meV/atom
energy above the lowest structure with this stoichiometry = 535.5 meV/atom

---

No. 11
This record from the Alexandria database describes NbV2Re after structural relaxation. The functional is GGA-PBE.

Cell: 6.9577 6.9577 5.6021 Å, 51.61 51.61 90.00°
Fractional positions:
1 Re 0.0000 0.0000 0.0000
2 Re 0.7500 0.2500 0.5000
3 Nb 0.5000 0.5000 0.0000
4 Nb 0.2500 0.7500 0.5000
5 V 0.6452 0.1250 0.2500
6 V 0.1048 0.6250 0.2500
7 V 0.3750 0.3548 0.7500
8 V 0.8750 0.8952 0.7500

Results
ΔE_f = 0.515 eV/atom

---

No. 12
This record from the Alexandria database describes Ca3Tl2GePd8 after structural relaxation. The functional is GGA-PBE.

Cell: 5.5262 5.5262 10.5048 Å, 90.00 90.00 120.00°
Fractional positions:
1 Ca 0.3333 0.6667 0.5643
2 Ca 0.6667 0.3333 0.4357
3 Ca 0.0000 0.0000 0.0000
4 Tl 0.3333 0.6667 0.0939
5 Tl 0.6667 0.3333 0.9061
6 Ge 0.0000 0.0000 0.5000
7 Pd 0.3333 0.6667 0.8377
8 Pd 0.6667 0.3333 0.1623
9 Pd 0.1661 0.8339 0.3104
10 Pd 0.8339 0.1661 0.6896
11 Pd 0.1661 0.3321 0.3104
12 Pd 0.8339 0.6679 0.6896
13 Pd 0.6679 0.8339 0.3104
14 Pd 0.3321 0.1661 0.6896

Results
ΔE_f = -0.507 eV/atom

---

Number 1: density of states at the Fermi level 1.1165 states/eV/atom. Number 2: density of states at the Fermi level 0.8012 states/eV/atom. Number 3: density of states at the Fermi level 0.5978 states/eV/atom. Number 4: density of states at the Fermi level 0.4556 states/eV/atom. Number 5: density of states at the Fermi level 0.9878 states/eV/atom. Number 6: density of states at the Fermi level 0.8715 states/eV/atom. Number 7: density of states at the Fermi level 1.2401 states/eV/atom. Number 8: density of states at the Fermi level 1.8633 states/eV/atom. Number 9: density of states at the Fermi level 0.2396 states/eV/atom. Number 10: density of states at the Fermi level 0.9121 states/eV/atom. Number 11: density of states at the Fermi level 0.9078 states/eV/atom. Number 12: density of states at the Fermi level 0.3630 states/eV/atom.